Entry a
Compound: LuThCd2
Source: the Alexandria database
Functional: PBE-GGA
Structure: optimized geometry

a b c (Å): 3.4994 3.4994 8.5754
angles (deg): 90.00 90.00 90.00
Sites, in units of the cell vectors:
Lu: 0.5000 0.5000 0.0000
Th: 0.5000 0.5000 0.5000
Cd: 0.0000 0.0000 0.7697
Cd: 0.0000 0.0000 0.2303

Values from the calculation:
As for the symmetry: P4/mmm (123).


Entry b
Compound: LuThCd2
Source: the Alexandria database
Functional: PBE-GGA
Structure: optimized geometry

a b c (Å): 4.4087 4.9268 4.9268
angles (deg): 90.00 90.00 90.00
Sites, in units of the cell vectors:
Lu: 0.5000 0.0000 0.0000
Th: 0.5000 0.5000 0.5000
Cd: 0.0000 0.0000 0.5000
Cd: 0.0000 0.5000 0.0000

Values from the calculation:
As for the symmetry: P4/mmm (123).


Entry c
Compound: LuThCd2
Source: the Alexandria database
Functional: PBE-GGA
Structure: optimized geometry

a b c (Å): 5.3371 5.3371 5.3371
angles (deg): 60.00 60.00 60.00
Sites, in units of the cell vectors:
Lu: 0.5000 0.5000 0.5000
Th: 0.0000 0.0000 0.0000
Cd: 0.2500 0.2500 0.2500
Cd: 0.7500 0.7500 0.7500

Values from the calculation:
As for the symmetry: Fm-3m (225).


Stability ranking, top entry: entry a; the second entry is 42 meV per atom less favorable.


Entry a
Compound: LuTlCd2
Source: the Alexandria database
Functional: PBE-GGA
Structure: optimized geometry

a b c (Å): 5.1936 5.1936 5.1936
angles (deg): 60.00 60.00 60.00
Sites, in units of the cell vectors:
Tl: 0.5000 0.5000 0.5000
Lu: 0.0000 0.0000 0.0000
Cd: 0.2500 0.2500 0.2500
Cd: 0.7500 0.7500 0.7500

Values from the calculation:
As for the symmetry: Fm-3m (225).


Entry b
Compound: LuTlCd2
Source: the Alexandria database
Functional: PBE-GGA
Structure: optimized geometry

a b c (Å): 3.4848 3.4848 8.4721
angles (deg): 90.00 90.00 90.00
Sites, in units of the cell vectors:
Tl: 0.5000 0.5000 0.5000
Lu: 0.5000 0.5000 0.0000
Cd: 0.0000 0.0000 0.7622
Cd: 0.0000 0.0000 0.2378

Values from the calculation:
As for the symmetry: P4/mmm (123).


Stability ranking, top entry: entry b; the second entry is 47 meV per atom less favorable.


Entry a
Compound: Tm2LuCd
Source: the Alexandria database
Functional: PBE-GGA
Structure: optimized geometry

a b c (Å): 5.3600 5.3600 5.3600
angles (deg): 60.00 60.00 60.00
Sites, in units of the cell vectors:
Lu: 0.0000 0.0000 0.0000
Tm: 0.2500 0.2500 0.2500
Tm: 0.7500 0.7500 0.7500
Cd: 0.5000 0.5000 0.5000

Values from the calculation:
As for the symmetry: Fm-3m (225).


Entry b
Compound: Tm2LuCd
Source: the Alexandria database
Functional: PBE-GGA
Structure: optimized geometry

a b c (Å): 4.0641 5.1962 5.1962
angles (deg): 90.00 90.00 90.00
Sites, in units of the cell vectors:
Lu: 0.5000 0.5000 0.5000
Tm: 0.0000 0.0000 0.5000
Tm: 0.0000 0.5000 0.0000
Cd: 0.5000 0.0000 0.0000

Values from the calculation:
As for the symmetry: P4/mmm (123).


Stability ranking, top entry: entry b; the second entry is 37 meV per atom less favorable.